This record from Alexandria describes a relaxed DyPu2Pd9 crystal. The functional is PBE-GGA.

- Total magnetization: 8.59 μB/cell
- Electronic total energy: -7.338 eV per atom
- Energy of formation: -0.672 eV/atom

```
12
Lattice="4.1338 0.0000 0.0000 0.0000 4.1338 0.0000 0.0000 0.0000 12.4157" Properties=species:S:1:pos:R:3 pbc="T T T"
Dy 0.0000 0.0000 0.0000
Pu 0.0000 0.0000 4.1253
Pu 0.0000 0.0000 8.2905
Pd 0.0000 2.0669 2.0775
Pd 0.0000 2.0669 6.2079
Pd 0.0000 2.0669 10.3382
Pd 2.0669 0.0000 2.0775
Pd 2.0669 0.0000 6.2079
Pd 2.0669 0.0000 10.3382
Pd 2.0669 2.0669 0.0000
Pd 2.0669 2.0669 4.1346
Pd 2.0669 2.0669 8.2811
```



This record from Alexandria describes a relaxed AlCoI2 crystal. The functional is PBE-GGA.

- Total magnetization: 2.09 μB/cell
- Electronic total energy: -2.845 eV per atom
- E above lowest polymorph: 322 meV/atom

```
4
Lattice="0.0000 3.6862 3.6862 3.6862 0.0000 3.6862 3.6862 3.6862 0.0000" Properties=species:S:1:pos:R:3 pbc="T T T"
Al 0.0000 0.0000 0.0000
Co 3.6862 3.6862 3.6862
I 1.8431 1.8431 1.8431
I 5.5293 5.5293 5.5293
```



This record from Alexandria describes a relaxed Na3TaGa crystal. The functional is PBE-GGA.

- Total magnetization: 3.13 μB/cell
- Electronic total energy: -2.415 eV per atom
- E above lowest polymorph: 0 meV/atom
- Energy of formation: 1.352 eV/atom

```
5
Lattice="5.3837 0.0000 0.0000 0.0000 5.3837 0.0000 0.0000 0.0000 5.3837" Properties=species:S:1:pos:R:3 pbc="T T T"
Na 0.0000 0.0000 2.6918
Na 0.0000 2.6918 0.0000
Na 2.6918 0.0000 0.0000
Ta 2.6918 2.6918 2.6918
Ga 0.0000 0.0000 0.0000
```



This record from Alexandria describes a relaxed Tm3TeAs2 crystal. The functional is PBE-GGA.

- Total magnetization: 0.00 μB/cell
- Electronic total energy: -5.225 eV per atom

```
12
Lattice="2.2317 -6.8522 0.0000 2.2317 6.8522 0.0000 0.0000 0.0000 10.2284" Properties=species:S:1:pos:R:3 pbc="T T T"
Tm 2.2317 5.3341 7.6713
Tm 2.2317 1.7742 5.6310
Tm 2.2317 1.7742 9.7116
Tm 2.2317 -1.7742 0.5168
Tm 2.2317 -1.7742 4.5974
Tm 2.2317 -5.3341 2.5571
Te 2.2317 3.7265 2.5571
Te 2.2317 -3.7265 7.6713
As 0.0000 0.0000 0.0000
As 0.0000 0.0000 5.1142
As 2.2317 0.0489 2.5571
As 2.2317 -0.0489 7.6713
```



This record from Alexandria describes a relaxed SmHo6 crystal. The functional is PBE-GGA.

- Total magnetization: 0.00 μB/cell
- Electronic total energy: -4.333 eV per atom
- E above lowest polymorph: 0 meV/atom
- Energy of formation: 0.265 eV/atom

```
14
Lattice="6.4861 0.0000 0.0000 0.0000 6.4861 0.0000 0.0000 0.0000 10.9433" Properties=species:S:1:pos:R:3 pbc="T T T"
Sm 1.6215 4.8646 0.0000
Sm 4.8646 1.6215 0.0000
Ho 0.5299 3.7730 3.9704
Ho 0.5299 5.9562 6.9729
Ho 1.6215 1.6215 1.5435
Ho 1.6215 1.6215 9.3999
Ho 2.7131 3.7730 6.9729
Ho 2.7131 5.9562 3.9704
Ho 3.7730 0.5299 6.9729
Ho 3.7730 2.7131 3.9704
Ho 4.8646 4.8646 1.5435
Ho 4.8646 4.8646 9.3999
Ho 5.9562 0.5299 3.9704
Ho 5.9562 2.7131 6.9729
```



This record from Alexandria describes a relaxed LaPm6Th crystal. The functional is PBE-GGA.

- Total magnetization: 0.00 μB/cell
- Electronic total energy: -5.077 eV per atom
- Energy of formation: 0.030 eV/atom

```
8
Lattice="5.1587 0.0000 0.0000 0.0000 5.1587 0.0000 0.0000 0.0000 10.3360" Properties=species:S:1:pos:R:3 pbc="T T T"
La 0.0000 0.0000 0.0000
Pm 0.0000 2.5794 2.6499
Pm 0.0000 2.5794 7.6862
Pm 2.5794 0.0000 2.6499
Pm 2.5794 0.0000 7.6862
Pm 2.5794 2.5794 0.0000
Pm 2.5794 2.5794 5.1680
Th 0.0000 0.0000 5.1680
```



This record from Alexandria describes a relaxed Ca2SnSb2 crystal. The functional is PBE-GGA.

- Total magnetization: 0.00 μB/cell
- Electronic total energy: -3.729 eV per atom
- E above lowest polymorph: 154 meV/atom

```
10
Lattice="8.7872 0.0000 0.0000 0.0000 8.7872 0.0000 0.0000 0.0000 3.8479" Properties=species:S:1:pos:R:3 pbc="T T T"
Ca 1.1721 3.2215 0.0000
Ca 3.2215 7.6151 0.0000
Ca 5.5657 1.1721 0.0000
Ca 7.6151 5.5657 0.0000
Sn 0.0000 0.0000 0.0000
Sn 4.3936 4.3936 0.0000
Sb 1.5107 5.9043 1.9240
Sb 2.8828 1.5107 1.9240
Sb 5.9043 7.2764 1.9240
Sb 7.2764 2.8828 1.9240
```



This record from Alexandria describes a relaxed Th6Ir2PdS3 crystal. The functional is PBE-GGA.

- Total magnetization: 0.00 μB/cell
- Electronic total energy: -7.950 eV per atom

```
12
Lattice="9.2087 -2.0459 0.0000 9.2087 2.0459 0.0000 -2.4473 0.0000 8.1473" Properties=species:S:1:pos:R:3 pbc="T T T"
Th -0.5508 0.0000 2.0667
Th 5.0097 0.0000 3.4861
Th 3.9266 0.0000 7.3879
Th 12.0435 0.0000 0.7594
Th 10.9603 0.0000 4.6612
Th 16.5208 0.0000 6.0806
Ir 2.2452 0.0000 2.6865
Ir 13.7249 0.0000 5.4608
Pd 9.2087 0.0000 0.0000
S 1.0103 0.0000 6.7844
S 7.9850 0.0000 4.0736
S 14.9597 0.0000 1.3628
```



This record from Alexandria describes a relaxed ZrAlAg crystal. The functional is PBE-GGA.

- Total magnetization: 0.00 μB/cell
- Electronic total energy: -5.254 eV per atom
- Energy of formation: -0.207 eV/atom

```
6
Lattice="4.3586 -2.1725 0.0000 4.3586 2.1725 0.0000 -0.9588 0.0000 5.9757" Properties=species:S:1:pos:R:3 pbc="T T T"
Zr 0.0000 0.0000 0.0000
Zr 5.4861 0.0000 1.9724
Al 2.7390 0.0000 1.0172
Al 5.0079 0.0000 4.9496
Ag 2.1671 0.0000 4.0727
Ag 8.1797 0.0000 3.0532
```



This record from Alexandria describes a relaxed BaBr crystal. The functional is PBE-GGA.

- Total magnetization: 3.95 μB/cell
- Electronic total energy: -3.313 eV per atom

```
12
Lattice="4.8295 0.0000 0.0000 0.0000 15.6550 0.0000 0.0000 0.0000 7.7731" Properties=species:S:1:pos:R:3 pbc="T T T"
Ba 1.2074 0.7552 1.7820
Ba 1.2074 7.0723 1.7820
Ba 1.2074 11.7412 1.2527
Ba 3.6221 3.9138 6.5204
Ba 3.6221 8.5827 5.9911
Ba 3.6221 14.8998 5.9911
Br 1.2074 3.9138 0.9637
Br 1.2074 9.6344 3.8628
Br 1.2074 13.8481 3.8628
Br 3.6221 1.8069 3.9103
Br 3.6221 6.0206 3.9103
Br 3.6221 11.7412 6.8094
```



This record from Alexandria describes a relaxed Al2CrAs2 crystal. The functional is PBE-GGA.

- Total magnetization: 0.13 μB/cell
- Electronic total energy: -4.760 eV per atom
- E above lowest polymorph: 434 meV/atom
- Energy of formation: 0.522 eV/atom

```
5
Lattice="-1.7522 1.7522 7.2379 1.7522 -1.7522 7.2379 1.7522 1.7522 -7.2379" Properties=species:S:1:pos:R:3 pbc="T T T"
Al 1.7522 0.0000 3.6190
Al 0.0000 1.7522 3.6190
Cr 0.0000 0.0000 0.0000
As 0.0000 0.0000 5.9438
As 0.0000 0.0000 8.5320
```



This record from Alexandria describes a relaxed BaInOs crystal. The functional is PBE-GGA.

- Total magnetization: 0.00 μB/cell
- Electronic total energy: -4.523 eV per atom
- Energy of formation: 0.774 eV/atom

```
3
Lattice="3.8126 0.0000 0.0000 -1.9063 3.3018 0.0000 0.0000 0.0000 6.8313" Properties=species:S:1:pos:R:3 pbc="T T T"
Ba 0.0000 0.0000 0.0000
In 0.0000 2.2012 3.0053
Os 1.9063 1.1006 4.6040
```



This record from Alexandria describes a relaxed CsHfO2 crystal. The functional is PBE-GGA.

- Total magnetization: 0.00 μB/cell
- Electronic total energy: -7.464 eV per atom

```
8
Lattice="-2.9546 2.9546 5.4514 2.9546 -2.9546 5.4514 2.9546 2.9546 -5.4514" Properties=species:S:1:pos:R:3 pbc="T T T"
Cs 0.0000 0.0000 0.0000
Cs 0.0000 2.9546 2.7257
Hf 2.9546 0.0000 2.7257
Hf 0.0000 0.0000 5.4514
O 1.4773 -0.0670 4.0885
O 2.8876 1.4773 1.3628
O 1.4773 3.0216 -1.3628
O 0.0670 1.4773 6.8142
```



This record from Alexandria describes a relaxed NaLaNF2 crystal. The functional is PBE-GGA.

- Total magnetization: 0.00 μB/cell
- Electronic total energy: -5.731 eV per atom
- E above lowest polymorph: 0 meV/atom

```
5
Lattice="4.7774 0.0000 0.0000 0.0000 4.7774 0.0000 0.0000 0.0000 4.3488" Properties=species:S:1:pos:R:3 pbc="T T T"
Na 0.0000 0.0000 0.0000
La 2.3887 2.3887 2.1744
N 2.3887 2.3887 0.0000
F 0.0000 2.3887 2.1744
F 2.3887 0.0000 2.1744
```



This record from Alexandria describes a relaxed CeNdMnN3 crystal. The functional is PBE-GGA.

- Total magnetization: 2.14 μB/cell
- Electronic total energy: -8.511 eV per atom

```
12
Lattice="7.3067 0.0000 0.0000 0.0000 3.4861 0.0000 -0.8068 0.0000 7.4361" Properties=species:S:1:pos:R:3 pbc="T T T"
Ce 0.8590 0.8715 1.3215
Ce 5.6409 2.6146 6.1146
Nd 1.8411 2.6146 6.1610
Nd 4.6588 0.8715 1.2751
Mn 2.7686 2.6146 3.0248
Mn 3.7312 0.8715 4.4113
N 0.0195 0.8715 6.4406
N 2.1279 0.8715 3.4948
N 2.6311 2.6146 1.1374
N 3.8688 0.8715 6.2986
N 4.3719 2.6146 3.9413
N 6.4804 2.6146 0.9955
```



This record from Alexandria describes a relaxed Ac3VN5 crystal. The functional is PBE-GGA.

- Total magnetization: 1.74 μB/cell
- Electronic total energy: -8.131 eV per atom

```
18
Lattice="-3.5743 3.5743 5.8484 3.5743 -3.5743 5.8484 3.5743 3.5743 -5.8484" Properties=species:S:1:pos:R:3 pbc="T T T"
Ac 4.8271 1.2528 0.0000
Ac 0.0000 0.0000 2.9242
Ac 1.2528 2.3215 0.0000
Ac 2.3215 1.2528 5.8484
Ac 0.0000 0.0000 8.7725
Ac -1.2528 2.3215 5.8484
V 3.5743 0.0000 2.9242
V 0.0000 3.5743 2.9242
N 0.0000 0.0000 0.0000
N 4.5821 -1.0078 1.7966
N 2.5666 -1.0078 4.0517
N 2.5666 1.0078 1.7966
N 4.5821 1.0078 4.0517
N 0.0000 0.0000 5.8484
N -1.0078 2.5666 1.7966
N 1.0078 2.5666 4.0517
N 1.0078 4.5821 1.7966
N -1.0078 4.5821 4.0517
```



This record from Alexandria describes a relaxed CePrLuAl crystal. The functional is PBE-GGA.

- Total magnetization: 0.92 μB/cell
- Electronic total energy: -4.768 eV per atom
- Energy of formation: -0.024 eV/atom

```
4
Lattice="0.0000 3.8158 3.8158 3.8158 0.0000 3.8158 3.8158 3.8158 0.0000" Properties=species:S:1:pos:R:3 pbc="T T T"
Ce 0.0000 0.0000 0.0000
Pr 3.8158 3.8158 3.8158
Lu 5.7237 5.7237 5.7237
Al 1.9079 1.9079 1.9079
```



This record from Alexandria describes a relaxed Ba2In2Sb2As crystal. The functional is PBE-GGA.

- Total magnetization: 0.00 μB/cell
- Electronic total energy: -3.767 eV per atom

```
7
Lattice="4.3563 0.0000 0.0000 -2.1702 6.6580 0.0000 -0.0079 -3.1242 8.1313" Properties=species:S:1:pos:R:3 pbc="T T T"
Ba 0.0004 -0.7623 2.2284
Ba 2.1779 4.2961 5.9029
In -0.0019 0.9845 7.1954
In 2.1802 2.5492 0.9360
Sb 0.0020 2.5977 3.2149
Sb 2.1763 0.9360 4.9164
As 2.1782 0.0000 0.0000
```



This record from Alexandria describes a relaxed Sr2Tl2InHg4 crystal. The functional is PBE-GGA.

- Total magnetization: 0.00 μB/cell
- Electronic total energy: -1.589 eV per atom
- Energy of formation: -0.251 eV/atom

```
9
Lattice="-3.5959 3.5959 5.2914 3.5959 -3.5959 5.2914 3.5959 3.5959 -5.2914" Properties=species:S:1:pos:R:3 pbc="T T T"
Sr 3.5959 0.0000 2.6457
Sr 0.0000 3.5959 2.6457
Tl 0.0000 0.0000 2.2230
Tl 0.0000 0.0000 8.3598
In 0.0000 0.0000 5.2914
Hg 1.5722 1.5722 0.0000
Hg 2.0237 -2.0237 5.2914
Hg -2.0237 2.0237 5.2914
Hg 2.0237 2.0237 5.2914
```



This record from Alexandria describes a relaxed Rb3LaTb2Te6 crystal. The functional is PBE-GGA.

- Total magnetization: 0.00 μB/cell
- Electronic total energy: -4.417 eV per atom

```
12
Lattice="3.9915 -6.9145 0.0000 3.9915 6.9145 0.0000 -2.6638 0.0000 8.5518" Properties=species:S:1:pos:R:3 pbc="T T T"
Rb 0.0000 0.0000 0.0000
Rb 3.9915 2.2729 0.0000
Rb 3.9915 -2.2729 0.0000
La 2.6596 0.0000 4.2759
Tb 2.6596 4.6062 4.2759
Tb 2.6596 -4.6062 4.2759
Te 1.2888 2.3736 2.5465
Te -0.0822 0.0000 5.9995
Te 1.2888 -2.3736 2.5465
Te 4.0304 2.3736 6.0053
Te 5.4014 0.0000 2.5523
Te 4.0304 -2.3736 6.0053
```